Record 1
This record from Alexandria via LeMat-Bulk describes a relaxed MoHIr crystal. The functional is PBE.

Cell: 5.0419 4.4284 5.9133 Å, 90.00 90.00 90.00°
Space group Pnma (No. 62)
One atom of each set of equivalent atoms:
Mo 0.0940 0.2500 0.1151 x4
H 0.2421 0.2500 0.3939 x4
Ir 0.0676 0.2500 0.6404 x4

## Properties
* relative energy among the computed polymorphs: 0.105 eV/atom
* crystal system: orthorhombic
* spin magnetization: 0.00 μB/f.u.

---

Record 2
This record from Alexandria via LeMat-Bulk describes a relaxed Zr2Co3W crystal. The functional is PBE.

Cell: 5.1232 5.1232 11.9092 Å, 90.00 90.00 120.00°
Space group R-3m (No. 166, hexagonal axes)
One atom of each set of equivalent atoms:
Zr 0.0000 0.0000 0.1273 x6
Co 0.0000 0.5000 0.0000 x9
W 0.0000 0.0000 0.5000 x3

## Properties
* formation enthalpy at 0 K: -0.250 eV per atom
* crystal system: trigonal
* spin magnetization: 0.00 μB/f.u.

---

Record 3
This record from Alexandria via LeMat-Bulk describes a relaxed Ac4Pb2SeN2 crystal. The functional is PBE.

Cell: 17.1146 4.3667 9.4145 Å, 90.00 118.99 90.00°
Space group C2/m (No. 12)
One atom of each set of equivalent atoms:
Ac 0.0230 0.0000 0.2803 x4
Ac 0.2242 0.5000 0.6372 x4
Pb 0.1016 0.5000 0.0554 x4
Se 0.0000 0.5000 0.5000 x2
N 0.1751 0.0000 0.4797 x4

## Properties
* crystal system: monoclinic
* formation energy without anion corrections: -1.08 eV/atom
* spin magnetization: 0.00 μB/f.u.

---

Record 4
This record from Alexandria via LeMat-Bulk describes a relaxed CaTh2FeN4 crystal. The functional is PBE.

Cell: 3.6410 11.9553 12.0821 Å, 90.00 90.00 90.00°
Space group Cmcm (No. 63)
One atom of each set of equivalent atoms:
Ca 0.0000 0.0934 0.2500 x4
Th 0.0000 0.3687 0.0548 x8
Fe 0.0000 0.1707 0.7500 x4
N 0.0000 0.0000 0.0000 x4
N 0.0000 0.2595 0.6159 x8
N 0.0000 0.4267 0.2500 x4

## Properties
* crystal system: orthorhombic
* formation energy without anion corrections: -1.02 eV/atom
* spin magnetization: 4.01 μB/f.u.

---

How do the records compare in total DFT energy (no corrections)? In the order shown, they have -7.70; -8.81; -5.97; -8.35 eV/atom.